{"formula": "CeErThPa", "functional": "PBE", "state": "relaxed", "formation_energy_mev_per_atom": 315, "space_group": "F-43m, No. 216", "lattice": [[5.464, 0.000, 0.000], [2.732, 4.732, 0.000], [2.732, 1.577, 4.462]], "species": ["Er", "Ce", "Th", "Pa"], "frac_coords": [[0.500, 0.500, 0.500], [0.250, 0.250, 0.250], [0.750, 0.750, 0.750], [0.000, 0.000, 0.000]]}

{"formula": "CeErPaTl", "functional": "PBE", "state": "relaxed", "formation_energy_mev_per_atom": 196, "space_group": "F-43m, No. 216", "lattice": [[5.348, 0.000, 0.000], [2.674, 4.631, 0.000], [2.674, 1.544, 4.366]], "species": ["Er", "Ce", "Pa", "Tl"], "frac_coords": [[0.500, 0.500, 0.500], [0.000, 0.000, 0.000], [0.750, 0.750, 0.750], [0.250, 0.250, 0.250]]}

Ordered DFT total energy results: -6.54 -5.39; unit eV per atom.